! GGA-PBE ZrCd2Si, relaxed; values from VASP
&SYSTEM
  ibrav = 0, nat = 4, ntyp = 3
/
ATOMIC_SPECIES
Si 28.09 Si.upf
Cd 112.41 Cd.upf
Zr 91.22 Zr.upf
ATOMIC_POSITIONS crystal
Si 0.500 0.000 0.500
Cd 0.500 0.500 0.000
Cd 0.000 0.000 0.000
Zr 0.000 0.500 0.500
CELL_PARAMETERS angstrom
-2.022 1.703 -3.118
-0.284 -3.653 -1.811
-4.051 -0.776 2.203
! uncorrected formation energy	-4.0	kcal/mol of atoms
! magnetization	0.00	μB per cell
! space-group type	P4/mmm, No. 123
! ρ	7.31	g/cm3
! Fermi-level density of states	1.92	states/eV/f.u.

***

! GGA-PBE RbOsPt3, relaxed; values from VASP
&SYSTEM
  ibrav = 0, nat = 5, ntyp = 3
/
ATOMIC_SPECIES
Os 190.23 Os.upf
Pt 195.08 Pt.upf
Rb 85.47 Rb.upf
ATOMIC_POSITIONS crystal
Os 0.000 0.000 0.000
Pt 0.000 0.000 0.500
Pt 0.500 0.000 0.000
Pt 0.000 0.500 0.000
Rb 0.500 0.500 0.500
CELL_PARAMETERS angstrom
-0.735 -4.774 1.089
4.882 -0.799 -0.211
0.379 1.042 4.826
! magnetization	0.00	μB per cell
! space-group type	Pm-3m, No. 221
! formation enthalpy at 0 K	0.813	eV per atom
! ρ	11.78	g/cm3
! Fermi-level density of states	5.30	states/eV/f.u.

***

! GGA-PBE Dy2Tl4Hg, relaxed; values from VASP
&SYSTEM
  ibrav = 0, nat = 7, ntyp = 3
/
ATOMIC_SPECIES
Dy 162.50 Dy.upf
Tl 204.38 Tl.upf
Hg 200.59 Hg.upf
ATOMIC_POSITIONS crystal
Dy 0.643 0.642 0.286
Dy 0.357 0.358 0.714
Tl 0.500 0.000 0.000
Tl 0.000 0.500 0.000
Tl 0.750 0.250 0.500
Tl 0.250 0.750 0.500
Hg 0.000 0.000 0.000
CELL_PARAMETERS angstrom
5.562 0.000 -1.681
-0.508 5.539 -1.680
-0.768 -0.841 7.502
! magnetization	0.00	μB per cell
! space-group type	I4/mmm, No. 139
! formation enthalpy at 0 K	0.010	eV per atom
! ρ	10.35	g/cm3
! Fermi-level density of states	5.01	states/eV/f.u.

***

! GGA-PBE PrY6Sc, relaxed; values from VASP
&SYSTEM
  ibrav = 0, nat = 8, ntyp = 3
/
ATOMIC_SPECIES
Y 88.91 Y.upf
Pr 140.91 Pr.upf
Sc 44.96 Sc.upf
ATOMIC_POSITIONS crystal
Y 0.769 0.939 0.843
Y 0.551 0.231 0.278
Y 0.231 0.061 0.157
Y 0.939 0.551 0.741
Y 0.449 0.769 0.722
Y 0.061 0.449 0.259
Pr 0.500 0.500 0.500
Sc 0.000 0.000 0.000
CELL_PARAMETERS angstrom
8.423 0.674 -0.455
4.815 8.315 -0.036
4.195 3.136 3.678
! magnetization	0.00	μB per cell
! space-group type	R-3, No. 148
! formation enthalpy at 0 K	0.164	eV per atom
! ρ	4.68	g/cm3
! Fermi-level density of states	13.19	states/eV/f.u.

***

! GGA-PBE Th3Ag4Pb2, relaxed; values from VASP
&SYSTEM
  ibrav = 0, nat = 9, ntyp = 3
/
ATOMIC_SPECIES
Ag 107.87 Ag.upf
Pb 207.20 Pb.upf
Th 232.04 Th.upf
ATOMIC_POSITIONS crystal
Ag 0.924 0.849 0.582
Ag 0.076 0.151 0.418
Ag 0.714 0.428 0.038
Ag 0.286 0.572 0.962
Pb 0.613 0.225 0.277
Pb 0.387 0.775 0.723
Th 0.000 0.000 0.000
Th 0.337 0.673 0.325
Th 0.663 0.327 0.675
CELL_PARAMETERS angstrom
4.986 0.000 0.000
-2.493 5.149 -2.180
0.000 -1.068 9.319
! magnetization	0.00	μB per cell
! space-group type	C2/m, No. 12
! formation enthalpy at 0 K	-0.199	eV per atom
! ρ	11.25	g/cm3
! Fermi-level density of states	4.65	states/eV/f.u.

***

! GGA-PBE Ho2SbPt9, relaxed; values from VASP
&SYSTEM
  ibrav = 0, nat = 12, ntyp = 3
/
ATOMIC_SPECIES
Ho 164.93 Ho.upf
Pt 195.08 Pt.upf
Sb 121.76 Sb.upf
ATOMIC_POSITIONS crystal
Ho 0.000 0.000 0.335
Ho 0.000 0.000 0.665
Pt 0.000 0.500 0.164
Pt 0.000 0.500 0.836
Pt 0.500 0.500 0.670
Pt 0.000 0.500 0.500
Pt 0.500 0.000 0.164
Pt 0.500 0.000 0.836
Pt 0.500 0.500 0.000
Pt 0.500 0.500 0.330
Pt 0.500 0.000 0.500
Sb 0.000 0.000 0.000
CELL_PARAMETERS angstrom
-0.037 3.806 -1.524
-2.186 1.271 3.227
10.407 2.528 6.055
! uncorrected formation energy	-17.9	kcal/mol of atoms
! magnetization	0.00	μB per cell
! space-group type	P4/mmm, No. 123
! ρ	17.73	g/cm3
! Fermi-level density of states	6.54	states/eV/f.u.